1.
K2RbInGe, relaxed, DFT PBE; energy relative to the lowest polymorph listed for this composition = 484 meV/atom; Fermi-level density of states = 1.5 states/eV/f.u.; ΔE_f = 527 meV per atom; symmetry = P4/mmm (123)
1.0
6.770 0.000 0.000
0.000 6.770 0.000
0.000 0.000 7.013
K Rb In Ge
2 1 1 1
Direct
0.000 0.500 0.000
0.500 0.000 0.000
0.000 0.000 0.500
0.000 0.000 0.000
0.500 0.500 0.500



2.
K2RbInGe, relaxed, DFT PBE; energy relative to the lowest polymorph listed for this composition = 0 meV/atom; Fermi-level density of states = 2.9 states/eV/f.u.; ΔE_f = 43 meV per atom; symmetry = P4/mmm (123)
1.0
6.697 0.000 0.000
0.000 6.697 0.000
0.000 0.000 5.463
K Rb In Ge
2 1 1 1
Direct
0.000 0.500 0.000
0.500 0.000 0.000
0.000 0.000 0.500
0.500 0.500 0.500
0.500 0.500 0.000



3.
KIn2ReGe, relaxed, DFT PBE; Fermi-level density of states = 0.6 states/eV/f.u.; ΔE_f = 36 meV per atom; symmetry = P4/mmm (123)
1.0
5.317 0.000 0.000
0.000 5.317 0.000
0.000 0.000 4.871
K In Re Ge
1 2 1 1
Direct
0.000 0.000 0.000
0.000 0.500 0.500
0.500 0.000 0.500
0.500 0.500 0.500
0.500 0.500 0.000



4.
KIn2GeRh, relaxed, DFT PBE; Fermi-level density of states = 4.3 states/eV/f.u.; ΔE_f = -107 meV per atom; symmetry = P4/mmm (123)
1.0
5.251 0.000 0.000
0.000 5.251 0.000
0.000 0.000 4.871
K In Ge Rh
1 2 1 1
Direct
0.000 0.000 0.000
0.000 0.500 0.500
0.500 0.000 0.500
0.500 0.500 0.000
0.500 0.500 0.500



5.
KIn2GeRu, relaxed, DFT PBE; Fermi-level density of states = 4.5 states/eV/f.u.; ΔE_f = -52 meV per atom; symmetry = P4/mmm (123)
1.0
5.261 0.000 0.000
0.000 5.261 0.000
0.000 0.000 4.816
K In Ge Ru
1 2 1 1
Direct
0.000 0.000 0.000
0.000 0.500 0.500
0.500 0.000 0.500
0.500 0.500 0.000
0.500 0.500 0.500



6.
K2In2GeS6, relaxed, DFT PBE; energy relative to the elements, uncorrected = -0.707 eV/atom; symmetry = C2/m (12)
1.0
3.265 -5.626 0.000
3.265 5.626 0.000
-2.312 0.000 7.569
K In Ge S
2 2 1 6
Direct
0.172 0.828 0.000
0.828 0.172 0.000
0.331 0.669 0.500
0.669 0.331 0.500
0.000 0.000 0.500
0.068 0.378 0.689
0.243 0.243 0.317
0.378 0.068 0.689
0.622 0.932 0.311
0.757 0.757 0.683
0.932 0.622 0.311



7.
KInGe2S6, relaxed, DFT PBE; energy relative to the elements, uncorrected = -0.465 eV/atom; symmetry = C2/c (15)
1.0
6.396 -6.893 0.000
6.396 6.893 0.000
-2.278 0.000 6.415
K In Ge S
2 2 4 12
Direct
0.114 0.886 0.750
0.886 0.114 0.250
0.236 0.764 0.250
0.764 0.236 0.750
0.227 0.373 0.819
0.373 0.227 0.319
0.627 0.773 0.681
0.773 0.627 0.181
0.033 0.201 0.717
0.153 0.595 0.904
0.201 0.033 0.217
0.314 0.417 0.542
0.405 0.847 0.596
0.417 0.314 0.042
0.583 0.686 0.958
0.595 0.153 0.404
0.686 0.583 0.458
0.799 0.967 0.783
0.847 0.405 0.096
0.967 0.799 0.283



8.
KIn2GeSe6, relaxed, DFT PBE; Fermi-level density of states = 3.8 states/eV/f.u.; energy relative to the elements, uncorrected = -0.458 eV/atom; symmetry = C2/c (15)
1.0
7.127 -6.550 0.000
7.127 6.550 0.000
-4.446 0.000 7.351
K In Ge Se
2 4 2 12
Direct
0.173 0.827 0.750
0.827 0.173 0.250
0.235 0.392 0.957
0.392 0.235 0.457
0.608 0.765 0.543
0.765 0.608 0.043
0.152 0.848 0.250
0.848 0.152 0.750
0.064 0.163 0.678
0.107 0.644 0.966
0.163 0.064 0.178
0.339 0.445 0.718
0.356 0.893 0.534
0.445 0.339 0.218
0.555 0.661 0.782
0.644 0.107 0.466
0.661 0.555 0.282
0.837 0.936 0.822
0.893 0.356 0.034
0.936 0.837 0.322



9.
KInGe2Se6, relaxed, DFT PBE; energy relative to the elements, uncorrected = -0.415 eV/atom; symmetry = C2/c (15)
1.0
6.856 -7.136 0.000
6.856 7.136 0.000
-2.708 0.000 6.781
K In Ge Se
2 2 4 12
Direct
0.128 0.872 0.750
0.872 0.128 0.250
0.230 0.770 0.250
0.770 0.230 0.750
0.226 0.367 0.820
0.367 0.226 0.320
0.633 0.774 0.680
0.774 0.633 0.180
0.034 0.186 0.708
0.138 0.590 0.907
0.186 0.034 0.208
0.310 0.420 0.553
0.410 0.862 0.593
0.420 0.310 0.053
0.580 0.690 0.947
0.590 0.138 0.407
0.690 0.580 0.447
0.814 0.966 0.792
0.862 0.410 0.093
0.966 0.814 0.292



10.
K2InGeSe4, relaxed, DFT PBE; Fermi-level density of states = 4.7 states/eV/f.u.; energy relative to the elements, uncorrected = -0.688 eV/atom; symmetry = Fddd (70)
1.0
0.000 7.216 11.729
3.251 0.000 11.729
3.251 7.216 0.000
K In Ge Se
4 2 2 8
Direct
0.059 0.059 0.691
0.309 0.309 0.941
0.691 0.691 0.059
0.941 0.941 0.309
0.125 0.125 0.125
0.875 0.875 0.875
0.375 0.375 0.375
0.625 0.625 0.625
0.032 0.335 0.425
0.291 0.575 0.665
0.335 0.032 0.709
0.425 0.709 0.032
0.575 0.291 0.968
0.665 0.968 0.291
0.709 0.425 0.335
0.968 0.665 0.575



11.
KIn2TcGe, relaxed, DFT PBE; Fermi-level density of states = 0.7 states/eV/f.u.; ΔE_f = -65 meV per atom; symmetry = P4/mmm (123)
1.0
5.295 0.000 0.000
0.000 5.295 0.000
0.000 0.000 4.860
K In Tc Ge
1 2 1 1
Direct
0.000 0.000 0.000
0.000 0.500 0.500
0.500 0.000 0.500
0.500 0.500 0.500
0.500 0.500 0.000



12.
KInTcGe2, relaxed, DFT PBE; Fermi-level density of states = 3.1 states/eV/f.u.; ΔE_f = 14 meV per atom; symmetry = P4/mmm (123)
1.0
4.897 0.000 0.000
0.000 4.897 0.000
0.000 0.000 5.278
K In Tc Ge
1 1 1 2
Direct
0.000 0.000 0.000
0.500 0.500 0.000
0.500 0.500 0.500
0.000 0.500 0.500
0.500 0.000 0.500



Number 1: total energy -7.88 eV/cell. Number 2: total energy -10.30 eV/cell. Number 3: total energy -23.46 eV/cell. Number 4: total energy -19.08 eV/cell. Number 5: total energy -20.73 eV/cell. Number 6: total energy -44.83 eV/cell. Number 7: total energy -84.98 eV/cell. Number 8: total energy -73.37 eV/cell. Number 9: total energy -76.26 eV/cell. Number 10: total energy -57.99 eV/cell. Number 11: total energy -21.89 eV/cell. Number 12: total energy -23.37 eV/cell.